Entry 1:
## Sc2TeMo (PBE-GGA)

Data for crystalline Sc2TeMo at its relaxed geometry.

Output
Fermi-level density of states	1.156	states/eV/atom
crystal system	monoclinic
total energy	-6.838	eV per atom
raw formation energy	-179	meV per atom

a = 10.0656 Å, b = 3.8000 Å, c = 4.7026 Å
α = 90.00°, β = 117.65°, γ = 90.00°
Closest atoms and distances in Å follow each position.
Space group C2/m (No. 12)
Asymmetric unit:
1 Sc 0.2336 0.0000 0.2337 (multiplicity 4)  2 Mo 2.82, 4 Sc 3.04, 4 Te 3.04-3.15
2 Te 0.0000 0.0000 0.5000 (multiplicity 2)  4 Mo 3.02, 8 Sc 3.04-3.15
3 Mo 0.0000 0.5000 0.0000 (multiplicity 2)  4 Sc 2.82, 4 Te 3.02

Entry 2:
## Sc2TeMo (PBE-GGA)

Data for crystalline Sc2TeMo at its relaxed geometry.

Output
Fermi-level density of states	0.844	states/eV/atom
crystal system	trigonal
total energy	-6.291	eV per atom
raw formation energy	368	meV per atom

a = 3.5048 Å, b = 3.5048 Å, c = 26.8836 Å
α = 90.00°, β = 90.00°, γ = 120.00°
Closest atoms and distances in Å follow each position.
Space group R-3m (No. 166, hexagonal axes)
Asymmetric unit:
1 Sc 0.0000 0.0000 0.0899 (multiplicity 6)  1 Mo 2.42
2 Te 0.0000 0.0000 0.5000 (multiplicity 3)  6 Sc 2.89
3 Mo 0.0000 0.0000 0.0000 (multiplicity 3)  2 Sc 2.42